Here is crystalline PaBiO3 at its relaxed geometry from the Open Quantum Materials Database. Energies are from PBE.

a = 6.1936 Å, b = 6.2180 Å, c = 8.6978 Å
α = 90.00°, β = 90.00°, γ = 90.00°
Last column: nearest neighbours and their distance in Å.
Sites, in units of the cell vectors:
1 O 0.8326 0.8339 0.4694  2 Pa 2.32-2.34, 1 Bi 2.36
2 O 0.3326 0.6661 0.5306  2 Pa 2.32-2.34, 1 Bi 2.36
3 O 0.0927 0.4729 0.2500  2 Pa 2.26
4 O 0.9073 0.5271 0.7500  2 Pa 2.26
5 Pa 0.0000 0.5000 0.0000  6 O 2.26-2.34
6 Bi 0.4971 0.5159 0.7500  3 O 2.36-2.54
7 Pa 0.5000 0.0000 0.5000  6 O 2.26-2.34
8 Bi 0.5029 0.4841 0.2500  3 O 2.36-2.54
9 Pa 0.5000 0.0000 0.0000  6 O 2.26-2.34
10 Bi 0.9972 0.9841 0.2500  3 O 2.36-2.54
11 Bi 0.0028 0.0159 0.7500  3 O 2.36-2.54
12 O 0.1674 0.1661 0.5306  2 Pa 2.32-2.34, 1 Bi 2.36
13 O 0.4073 0.9729 0.2500  2 Pa 2.26
14 O 0.5927 0.0271 0.7500  2 Pa 2.26
15 O 0.3326 0.6661 0.9694  2 Pa 2.32-2.34, 1 Bi 2.36
16 O 0.6674 0.3339 0.4694  2 Pa 2.32-2.34, 1 Bi 2.36
17 Pa 0.0000 0.5000 0.5000  6 O 2.26-2.34
18 O 0.6674 0.3339 0.0306  2 Pa 2.32-2.34, 1 Bi 2.36
19 O 0.1674 0.1661 0.9694  2 Pa 2.32-2.34, 1 Bi 2.36
20 O 0.8326 0.8339 0.0306  2 Pa 2.32-2.34, 1 Bi 2.36

Computed properties:
DFT total energy ... -7.562 eV/atom
Space-group type ... Pnma, No. 62